DFT (PBE-GGA) results for a relaxed structure of PmPrHo2.

Results
The formation enthalpy at 0 K is 0.01 eV per atom. For the total magnetization, the calculation gives 0.0 μB/f.u. For the energy above the most stable polymorph in this dataset, the calculation gives 0.000 eV per atom. The value obtained for the total DFT energy (no corrections) is -18.6 eV per cell. The density of states at the Fermi level comes out at 4.5 states/eV per cell.

Structure (POSCAR):
```
PmPrHo2
1.0
-3.085 0.346 1.840
-2.332 -2.750 0.146
3.484 -4.774 10.277
Pr Pm Ho
1 1 2
Direct
0.500 0.500 0.500
0.000 0.000 0.000
0.251 0.251 0.248
0.749 0.749 0.752
```